Below is a relaxed MnP2ClO crystal, with properties calculated at the PBE+U level.

Results
E above lowest polymorph	0.0000	eV per atom
ρ	3.171	g cm⁻³
SG	P4/mmm

abc: 3.8538 3.8538 5.9353
angles: 90.00 90.00 90.00
Fractional coordinates of all 5 atoms:
Mn: 0.0000 0.0000 0.0000
P: 0.0000 0.5000 0.5000
P: 0.5000 0.0000 0.5000
Cl: 0.5000 0.5000 0.0000
O: 0.5000 0.5000 0.5000